Density functional theory data (PBE) for Sr4ZrSe after structural relaxation.

extended XYZ file:
```
6
Lattice="-6.7068 1.5312 1.3351 -2.5487 6.3148 -1.6543 -4.5603 0.6648 -5.2793" Properties=species:S:1:pos:R:3 pbc="T T T"
Sr -7.4589 3.5269 -4.7314
Sr -8.5279 3.9584 -1.4373
Zr -10.3619 6.3831 -4.1988
Se 0.0000 0.0000 0.0000
Sr -5.1878 3.1958 -2.1022
Sr -6.4571 6.3406 -2.9261
```

Properties
As for the total energy: -15.49 eV/f.u. For the density of states at the Fermi level, the calculation gives 4.61 states/eV/f.u. For the energy relative to the elements, uncorrected, the calculation gives 12.575 kcal/mol of atoms. For the magnetization, the calculation gives 0.63 μB/atom.